[1]
Cr2Ga2Pt | PBE | optimized geometry

Unit cell a=6.8895 b=6.8895 c=3.0050 alpha=90.00 beta=90.00 gamma=90.00
Atoms (fractional coordinates):
1 Cr 0.1016 0.3984 0.0000
2 Cr 0.3984 0.8984 0.0000
3 Cr 0.6016 0.1016 0.0000
4 Cr 0.8984 0.6016 0.0000
5 Ga 0.1935 0.6935 0.5000
6 Ga 0.3065 0.1935 0.5000
7 Ga 0.6935 0.8065 0.5000
8 Ga 0.8065 0.3065 0.5000
9 Pt 0.0000 0.0000 0.0000
10 Pt 0.5000 0.5000 0.0000

Summary:
E above lowest polymorph ... 0 meV per atom

[2]
Cr2GaPt8 | PBE | optimized geometry

Unit cell a=7.0609 b=7.0609 c=7.0609 alpha=146.45 beta=116.97 gamma=73.32
Atoms (fractional coordinates):
1 Cr 0.1932 0.1932 0.0000
2 Cr 0.8068 0.8068 0.0000
3 Ga 0.5000 0.5000 0.0000
4 Pt 0.0611 0.3380 0.7231
5 Pt 0.1816 0.0000 0.1816
6 Pt 0.3609 0.8609 0.5000
7 Pt 0.3851 0.6620 0.7231
8 Pt 0.6149 0.3380 0.2769
9 Pt 0.6391 0.1391 0.5000
10 Pt 0.8184 0.0000 0.8184
11 Pt 0.9389 0.6620 0.2769

[3]
CrGaPt3 | PBE | optimized geometry

Unit cell a=4.6287 b=4.6287 c=4.6287 alpha=90.00 beta=90.00 gamma=90.00
Atoms (fractional coordinates):
1 Cr 0.0000 0.0000 0.0000
2 Ga 0.5000 0.5000 0.5000
3 Pt 0.0000 0.0000 0.5000
4 Pt 0.0000 0.5000 0.0000
5 Pt 0.5000 0.0000 0.0000

Summary:
E above lowest polymorph ... 0 meV per atom

[4]
CrGaPt | PBE | optimized geometry

Unit cell a=4.6196 b=4.6196 c=4.8550 alpha=91.79 beta=91.79 gamma=57.87
Atoms (fractional coordinates):
1 Cr 0.0691 0.0691 0.1805
2 Cr 0.9309 0.9309 0.8195
3 Ga 0.4039 0.4039 0.2242
4 Ga 0.5961 0.5961 0.7758
5 Pt 0.2618 0.2618 0.7048
6 Pt 0.7382 0.7382 0.2952

[5]
Cr2GaPt9 | PBE | optimized geometry

Unit cell a=3.9239 b=3.9239 c=11.7904 alpha=90.00 beta=90.00 gamma=90.00
Atoms (fractional coordinates):
1 Cr 0.0000 0.0000 0.1647
2 Cr 0.0000 0.0000 0.8353
3 Ga 0.0000 0.0000 0.5000
4 Pt 0.0000 0.5000 0.0000
5 Pt 0.0000 0.5000 0.3307
6 Pt 0.0000 0.5000 0.6693
7 Pt 0.5000 0.0000 0.0000
8 Pt 0.5000 0.0000 0.3307
9 Pt 0.5000 0.0000 0.6693
10 Pt 0.5000 0.5000 0.1664
11 Pt 0.5000 0.5000 0.5000
12 Pt 0.5000 0.5000 0.8336

[6]
Cr2Ga2Pt | PBE | optimized geometry

Unit cell a=6.4956 b=6.4956 c=3.3210 alpha=90.00 beta=90.00 gamma=90.00
Atoms (fractional coordinates):
1 Cr 0.1676 0.3324 0.0000
2 Cr 0.3324 0.8324 0.0000
3 Cr 0.6676 0.1676 0.0000
4 Cr 0.8324 0.6676 0.0000
5 Ga 0.1335 0.6335 0.5000
6 Ga 0.3665 0.1335 0.5000
7 Ga 0.6335 0.8665 0.5000
8 Ga 0.8665 0.3665 0.5000
9 Pt 0.0000 0.0000 0.5000
10 Pt 0.5000 0.5000 0.5000

Summary:
E above lowest polymorph ... 52 meV per atom

[7]
CrGaPt | PBE | optimized geometry

Unit cell a=4.6162 b=4.6390 c=5.0911 alpha=99.87 beta=103.63 gamma=119.27
Atoms (fractional coordinates):
1 Cr 0.0116 0.4387 0.1752
2 Cr 0.9884 0.5613 0.8248
3 Ga 0.2903 0.1980 0.7749
4 Ga 0.7097 0.8020 0.2251
5 Pt 0.4038 0.1646 0.2999
6 Pt 0.5962 0.8354 0.7001

[8]
CrGaPt | PBE | optimized geometry

Unit cell a=4.9265 b=4.9265 c=5.0826 alpha=107.96 beta=107.96 gamma=47.72
Atoms (fractional coordinates):
1 Cr 0.0082 0.0082 0.2026
2 Cr 0.9918 0.9918 0.7974
3 Ga 0.3230 0.3230 0.8895
4 Ga 0.6770 0.6770 0.1105
5 Pt 0.3411 0.3411 0.3990
6 Pt 0.6589 0.6589 0.6010

[9]
CrGaPt | PBE | optimized geometry

Unit cell a=4.6143 b=4.6143 c=5.5521 alpha=101.88 beta=101.88 gamma=49.88
Atoms (fractional coordinates):
1 Cr 0.0000 0.0000 0.0000
2 Cr 0.6759 0.6759 0.8533
3 Ga 0.3503 0.3503 0.6863
4 Ga 0.6633 0.6633 0.3243
5 Pt 0.0256 0.0256 0.5210
6 Pt 0.3326 0.3326 0.1805

[10]
CrGaPtRh | PBE | optimized geometry

Unit cell a=4.3448 b=4.3448 c=4.3448 alpha=60.00 beta=60.00 gamma=60.00
Atoms (fractional coordinates):
1 Cr 0.0000 0.0000 0.0000
2 Ga 0.5000 0.5000 0.5000
3 Pt 0.2500 0.2500 0.2500
4 Rh 0.7500 0.7500 0.7500

[11]
CrGaSn2Pt | PBE | optimized geometry

Unit cell a=4.9952 b=4.9952 c=4.6643 alpha=90.00 beta=90.00 gamma=90.00
Atoms (fractional coordinates):
1 Cr 0.0000 0.0000 0.0000
2 Ga 0.0000 0.0000 0.5000
3 Sn 0.0000 0.5000 0.0000
4 Sn 0.5000 0.0000 0.0000
5 Pt 0.5000 0.5000 0.5000

[12]
Ta2CrGaPt | PBE | optimized geometry

Unit cell a=4.5789 b=4.5789 c=4.6231 alpha=90.00 beta=90.00 gamma=90.00
Atoms (fractional coordinates):
1 Ta 0.0000 0.5000 0.0000
2 Ta 0.5000 0.0000 0.0000
3 Cr 0.0000 0.0000 0.0000
4 Ga 0.5000 0.5000 0.5000
5 Pt 0.0000 0.0000 0.5000

[13]
PuCrGaRu | PBE | optimized geometry

Unit cell a=4.5177 b=4.5177 c=4.5177 alpha=60.00 beta=60.00 gamma=60.00
Atoms (fractional coordinates):
1 Pu 0.0000 0.0000 0.0000
2 Cr 0.2500 0.2500 0.2500
3 Ga 0.5000 0.5000 0.5000
4 Ru 0.7500 0.7500 0.7500

[14]
PuCrGaTc | PBE | optimized geometry

Unit cell a=4.5077 b=4.5077 c=4.5077 alpha=60.00 beta=60.00 gamma=60.00
Atoms (fractional coordinates):
1 Pu 0.0000 0.0000 0.0000
2 Cr 0.2500 0.2500 0.2500
3 Ga 0.5000 0.5000 0.5000
4 Tc 0.7500 0.7500 0.7500

[15]
RbCrGa2 | PBE | optimized geometry

Unit cell a=4.0134 b=7.9307 c=7.9307 alpha=23.24 beta=90.00 gamma=90.00
Atoms (fractional coordinates):
1 Rb 0.0000 0.0000 0.0000
2 Cr 0.0000 0.7776 0.7776
3 Ga 0.5000 0.3110 0.3110
4 Ga 0.5000 0.6620 0.6620

Summary:
E above lowest polymorph ... 220 meV per atom

[16]
RbCrGa2 | PBE | optimized geometry

Unit cell a=5.1121 b=5.3190 c=8.5426 alpha=78.86 beta=85.79 gamma=74.47
Atoms (fractional coordinates):
1 Rb 0.0000 0.0000 0.0000
2 Rb 0.4734 0.4173 0.2373
3 Cr 0.3635 0.8287 0.5148
4 Cr 0.6075 0.5673 0.7150
5 Ga 0.1052 0.5654 0.7474
6 Ga 0.5158 0.1238 0.6737
7 Ga 0.8729 0.8172 0.4528
8 Ga 0.9843 0.2400 0.5686

Summary:
E above lowest polymorph ... 106 meV per atom

[17]
RbCrGa2 | PBE | optimized geometry

Unit cell a=5.1025 b=5.1025 c=7.8639 alpha=99.06 beta=99.06 gamma=81.64
Atoms (fractional coordinates):
1 Rb 0.2379 0.2379 0.4255
2 Rb 0.7621 0.7621 0.5745
3 Cr 0.4053 0.4053 0.8955
4 Cr 0.5947 0.5947 0.1045
5 Ga 0.0967 0.6796 0.1240
6 Ga 0.3204 0.9033 0.8760
7 Ga 0.6796 0.0967 0.1240
8 Ga 0.9033 0.3204 0.8760

Summary:
E above lowest polymorph ... 95 meV per atom

[18]
RbCrGa2 | PBE | optimized geometry

Unit cell a=4.0041 b=4.5619 c=14.1574 alpha=95.72 beta=91.30 gamma=116.01
Atoms (fractional coordinates):
1 Rb 0.0000 0.0000 0.0000
2 Rb 0.2763 0.6620 0.3240
3 Cr 0.2861 0.6314 0.6278
4 Cr 0.5986 0.2476 0.6855
5 Ga 0.2479 0.5252 0.8167
6 Ga 0.6405 0.3612 0.4989
7 Ga 0.9199 0.8803 0.7451
8 Ga 0.9659 0.0031 0.5580

Summary:
E above lowest polymorph ... 0 meV per atom

[19]
RbCrGa2 | PBE | optimized geometry

Unit cell a=9.5102 b=9.5102 c=9.5102 alpha=146.50 beta=146.50 gamma=48.10
Atoms (fractional coordinates):
1 Rb 0.3750 0.6250 0.7500
2 Rb 0.6250 0.3750 0.2500
3 Cr 0.1250 0.8750 0.2500
4 Cr 0.8750 0.1250 0.7500
5 Ga 0.0000 0.0000 0.0000
6 Ga 0.0000 0.0000 0.5000
7 Ga 0.0000 0.5000 0.0000
8 Ga 0.5000 0.0000 0.5000

Summary:
E above lowest polymorph ... 374 meV per atom

[20]
RbCrGa2 | PBE | optimized geometry

Unit cell a=5.0530 b=5.0530 c=5.0530 alpha=60.00 beta=60.00 gamma=60.00
Atoms (fractional coordinates):
1 Rb 0.0000 0.0000 0.0000
2 Cr 0.5000 0.5000 0.5000
3 Ga 0.2500 0.2500 0.2500
4 Ga 0.7500 0.7500 0.7500

Summary:
E above lowest polymorph ... 1054 meV per atom

[21]
RbCrGa2 | PBE | optimized geometry

Unit cell a=5.1243 b=4.0776 c=10.2293 alpha=90.00 beta=97.17 gamma=90.00
Atoms (fractional coordinates):
1 Rb 0.2130 0.2500 0.3672
2 Rb 0.7870 0.7500 0.6328
3 Cr 0.3960 0.7500 0.9772
4 Cr 0.6040 0.2500 0.0228
5 Ga 0.1213 0.2500 0.0447
6 Ga 0.3379 0.2500 0.7978
7 Ga 0.6621 0.7500 0.2022
8 Ga 0.8787 0.7500 0.9553

Summary:
E above lowest polymorph ... 82 meV per atom

[22]
RbCrGa2 | PBE | optimized geometry

Unit cell a=3.9103 b=3.3817 c=8.0697 alpha=90.00 beta=103.96 gamma=90.00
Atoms (fractional coordinates):
1 Rb 0.0000 0.0000 0.0000
2 Cr 0.7823 0.0000 0.5681
3 Ga 0.2939 0.5000 0.5915
4 Ga 0.6582 0.5000 0.3183

Summary:
E above lowest polymorph ... 235 meV per atom

[23]
Rb3CrGa | PBE | optimized geometry

Unit cell a=6.7779 b=6.7779 c=6.7779 alpha=90.00 beta=90.00 gamma=90.00
Atoms (fractional coordinates):
1 Rb 0.0000 0.0000 0.5000
2 Rb 0.0000 0.5000 0.0000
3 Rb 0.5000 0.0000 0.0000
4 Cr 0.5000 0.5000 0.5000
5 Ga 0.0000 0.0000 0.0000

Summary:
E above lowest polymorph ... 0 meV per atom

[24]
RbCr3Ga | PBE | optimized geometry

Unit cell a=5.1323 b=5.1323 c=5.1323 alpha=90.00 beta=90.00 gamma=90.00
Atoms (fractional coordinates):
1 Rb 0.0000 0.0000 0.0000
2 Cr 0.0000 0.5000 0.5000
3 Cr 0.5000 0.0000 0.5000
4 Cr 0.5000 0.5000 0.0000
5 Ga 0.5000 0.5000 0.5000

Summary:
E above lowest polymorph ... 0 meV per atom

[25]
RbCrGa2 | PBE | optimized geometry

Unit cell a=4.0879 b=4.7911 c=12.0435 alpha=95.70 beta=90.42 gamma=90.01
Atoms (fractional coordinates):
1 Rb 0.2423 0.2880 0.1685
2 Rb 0.7577 0.7120 0.8315
3 Cr 0.2500 0.6150 0.5004
4 Cr 0.7500 0.3850 0.4996
5 Ga 0.2483 0.0988 0.4246
6 Ga 0.2536 0.2430 0.6529
7 Ga 0.7464 0.7570 0.3471
8 Ga 0.7517 0.9012 0.5754

Summary:
E above lowest polymorph ... 85 meV per atom

Number 1: E_form 0.05 eV/atom. Number 2: E_form -0.23 eV/atom. Number 3: E_form 0.80 eV/atom. Number 4: E_form -0.18 eV/atom. Number 5: E_form -0.33 eV/atom. Number 6: E_form 0.11 eV/atom. Number 7: E_form -0.22 eV/atom. Number 8: E_form -0.20 eV/atom. Number 9: E_form -0.36 eV/atom. Number 10: E_form -0.38 eV/atom. Number 11: E_form 0.54 eV/atom. Number 12: E_form 0.88 eV/atom. Number 13: E_form -0.14 eV/atom. Number 14: E_form 0.05 eV/atom. Number 15: E_form 0.28 eV/atom. Number 16: E_form 0.17 eV/atom. Number 17: E_form 0.16 eV/atom. Number 18: E_form 0.06 eV/atom. Number 19: E_form 0.44 eV/atom. Number 20: E_form 1.12 eV/atom. Number 21: E_form 0.14 eV/atom. Number 22: E_form 0.30 eV/atom. Number 23: E_form 0.80 eV/atom. Number 24: E_form 1.10 eV/atom. Number 25: E_form 0.15 eV/atom.